1.
Here is crystalline LiCa2I5 at its relaxed geometry from the Alexandria database. Energies are from PBE.

Calculated values
Its volume is 696 Å³ per cell. The density of states at the Fermi level is 0.0 states/eV/f.u. As for the total magnetization: 0.0 μB per cell. The formation energy without anion corrections comes out at -140.0 kJ/mol of atoms. As for the calculated total energy: -50.55 eV/cell.

abc: 6.239 8.003 15.148
angles: 90.00 90.00 112.94
Positions (direct):
Li (0.805, 0.611, 0.750)
Li (0.195, 0.389, 0.250)
I (0.053, 0.107, 0.379)
I (0.676, 0.352, 0.564)
I (0.246, 0.493, 0.750)
I (0.324, 0.648, 0.436)
I (0.324, 0.648, 0.064)
I (0.754, 0.507, 0.250)
I (0.947, 0.893, 0.879)
I (0.053, 0.107, 0.121)
I (0.676, 0.352, 0.936)
I (0.947, 0.893, 0.621)
Ca (0.146, 0.293, 0.938)
Ca (0.146, 0.293, 0.562)
Ca (0.854, 0.707, 0.438)
Ca (0.854, 0.707, 0.062)

=====

2.
Here is crystalline V6CoB2 at its relaxed geometry from the Alexandria database. Energies are from PBE.

Calculated values
Its volume is 203 Å³ per cell. The density of states at the Fermi level is 8.4 states/eV/f.u. As for the total magnetization: 1.0 μB per cell. As for the calculated total energy: -156.49 eV/cell.

abc: 6.449 6.449 6.449
angles: 103.18 108.00 117.58
Last column: magnetic moment on the atom in μB.
Positions (direct):
V (0.715, 0.032, 0.317)  -0.02
V (0.285, 0.602, 0.317)  -0.02
V (0.478, 0.281, 0.197)  0.01
V (0.285, 0.968, 0.683)  -0.02
V (0.085, 0.281, 0.803)  0.01
V (0.771, 0.755, 0.526)  0.06
V (0.915, 0.719, 0.197)  0.01
V (0.715, 0.398, 0.683)  -0.02
V (0.771, 0.245, 0.016)  0.06
V (0.522, 0.719, 0.803)  0.01
V (0.229, 0.245, 0.474)  0.06
V (0.229, 0.755, 0.984)  0.06
B (0.500, 0.390, 0.890)  0.00
B (0.500, 0.610, 0.110)  0.00
B (0.381, 0.000, 0.381)  0.01
B (0.619, 0.000, 0.619)  0.01
Co (0.000, 0.500, 0.500)  -0.19
Co (0.000, 0.000, 0.000)  0.91

=====

3.
Here is crystalline Hg3PtCl at its relaxed geometry from the Alexandria database. Energies are from PBE.

Calculated values
Its volume is 148 Å³ per cell. The value obtained for the energy above the most stable polymorph in this dataset is 0.00 kcal/mol of atoms. The density of states at the Fermi level is 1.7 states/eV/f.u. As for the total magnetization: 0.0 μB per cell. The formation energy without anion corrections comes out at -10.0 kJ/mol of atoms. As for the calculated total energy: -9.31 eV/cell.

abc: 5.287 5.287 5.287
angles: 90.00 90.00 90.00
Positions (direct):
Cl (0.500, 0.500, 0.500)
Hg (0.500, 0.000, 0.000)
Hg (0.000, 0.500, 0.000)
Hg (0.000, 0.000, 0.500)
Pt (0.000, 0.000, 0.000)